Record 1
A relaxed GdZnCd crystal, computed with GGA-PBE.

## Properties
The formation energy is -0.19 eV/atom.

Cell lengths 4.747, 4.747, 4.747 Å; angles 60.00, 60.00, 60.00 degrees
Each line ends with the local moment (μB).
Fractional positions:
Zn: 0.250 0.250 0.250  0.06
Gd: 0.000 0.000 0.000  7.16
Cd: 0.500 0.500 0.500  0.04


Record 2
A relaxed BaNaLi17 crystal, computed with GGA-PBE.

## Properties
The formation energy is 0.04 eV/atom.

Cell lengths 7.792, 7.792, 7.792 Å; angles 82.22, 82.22, 82.22 degrees
Fractional positions:
Ba: 0.657 0.657 0.657
Na: 0.339 0.339 0.339
Li: 0.286 0.006 0.708
Li: 0.708 0.286 0.006
Li: 0.006 0.708 0.286
Li: 0.286 0.708 0.006
Li: 0.006 0.286 0.708
Li: 0.708 0.006 0.286
Li: 0.339 0.878 0.339
Li: 0.339 0.339 0.878
Li: 0.878 0.339 0.339
Li: 0.644 0.160 0.644
Li: 0.644 0.644 0.160
Li: 0.160 0.644 0.644
Li: 0.995 0.503 0.995
Li: 0.995 0.995 0.503
Li: 0.503 0.995 0.995
Li: 0.909 0.909 0.909
Li: 0.097 0.097 0.097


Record 3
A relaxed LiAcMg crystal, computed with GGA-PBE.

## Properties
Its energy relative to the lowest polymorph listed for this composition is 83.8 meV/atom. The formation energy is 0.06 eV/atom.

Cell lengths 5.386, 5.385, 7.147 Å; angles 90.22, 90.36, 60.02 degrees
Fractional positions:
Li: 0.003 0.500 0.814
Li: 0.997 0.500 0.186
Ac: 0.666 0.167 0.367
Ac: 0.334 0.833 0.633
Mg: 0.669 0.167 0.883
Mg: 0.331 0.833 0.117


Record 4
A relaxed Tb5Sm6Er crystal, computed with GGA-PBE.

## Properties
Its energy relative to the lowest polymorph listed for this composition is 3.2 meV/atom. The formation energy is 0.02 eV/atom.

Cell lengths 5.076, 10.138, 9.495 Å; angles 122.26, 105.52, 90.00 degrees
Fractional positions:
Tb: 0.666 0.166 0.333
Tb: 0.333 0.333 0.667
Tb: 0.000 0.500 0.000
Tb: 0.667 0.667 0.333
Tb: 0.334 0.834 0.667
Sm: 0.833 0.584 0.667
Sm: 0.833 0.083 0.667
Sm: 0.500 0.751 0.000
Sm: 0.500 0.249 0.000
Sm: 0.167 0.917 0.333
Sm: 0.167 0.416 0.333
Er: 0.000 0.000 0.000


Record 5
A relaxed InAgSeN2 crystal, computed with GGA-PBE.

## Properties
Its energy relative to the lowest polymorph listed for this composition is 135.0 meV/atom.

Cell lengths 4.179, 4.179, 5.588 Å; angles 90.00, 90.00, 90.00 degrees
Each line ends with the local moment (μB).
Fractional positions:
N: 0.000 0.500 0.000  1.07
N: 0.500 0.000 0.000  1.07
Se: 0.000 0.000 0.500  0.06
Ag: 0.000 0.000 0.000  0.20
In: 0.500 0.500 0.500  -0.04


Record 6
A relaxed Np2S3Cl crystal, computed with GGA-PBE.

## Properties
Its energy relative to the lowest polymorph listed for this composition is 145.2 meV/atom.

Cell lengths 7.347, 7.347, 7.347 Å; angles 60.13, 60.13, 60.13 degrees
Each line ends with the local moment (μB).
Fractional positions:
Np: 0.355 0.355 0.355  3.63
Np: 0.145 0.145 0.145  3.63
Np: 0.855 0.855 0.855  3.63
Np: 0.645 0.645 0.645  3.63
S: 0.478 0.022 0.750  -0.14
S: 0.022 0.750 0.478  -0.14
S: 0.750 0.478 0.022  -0.14
S: 0.522 0.978 0.250  -0.14
S: 0.978 0.250 0.522  -0.14
S: 0.250 0.522 0.978  -0.14
Cl: 0.500 0.500 0.500  -0.09
Cl: 0.000 0.000 0.000  -0.09


Record 7
A relaxed Tb2Pr3Sm6Sc crystal, computed with GGA-PBE.

## Properties
The formation energy is 0.03 eV/atom.

Cell lengths 6.261, 6.261, 11.957 Å; angles 95.01, 95.01, 120.01 degrees
Fractional positions:
Tb: 0.333 0.667 0.000
Tb: 0.667 0.333 0.000
Pr: 0.167 0.833 0.500
Pr: 0.833 0.167 0.500
Pr: 0.500 0.500 0.500
Sm: 0.919 0.589 0.757
Sm: 0.751 0.751 0.243
Sm: 0.081 0.411 0.243
Sm: 0.589 0.919 0.757
Sm: 0.249 0.249 0.757
Sm: 0.411 0.081 0.243
Sc: 0.000 0.000 0.000


Record 8
A relaxed La3CeBi4 crystal, computed with GGA-PBE.

## Properties
The formation energy is -0.99 eV/atom.

Cell lengths 4.683, 8.111, 8.111 Å; angles 109.46, 90.00, 90.00 degrees
Each line ends with the local moment (μB).
Fractional positions:
La: 0.000 0.000 0.500  0.00
La: 0.500 0.500 0.500  -0.01
La: 0.000 0.500 0.000  0.00
Ce: 0.500 0.000 0.000  0.81
Bi: 0.000 0.246 0.246  -0.02
Bi: 0.500 0.752 0.248  -0.01
Bi: 0.000 0.754 0.754  -0.02
Bi: 0.500 0.248 0.752  -0.01


| no. | DOS(E_F) (states/eV/atom) |
| --- | --- |
| 1 | 1.245 |
| 2 | 0.516 |
| 3 | 0.385 |
| 4 | 1.388 |
| 5 | 0.463 |
| 6 | 2.947 |
| 7 | 1.451 |
| 8 | 0.851 |